Entry from the Alexandria database: crystalline Ba2CaAu at its relaxed geometry (PBEsol).

```
Ba2CaAu
1.0
4.454 0.000 0.000
2.227 3.857 0.000
2.227 1.286 10.665
Ba Au Ca
2 1 1
Direct
0.726 0.726 0.823 Ba
0.274 0.274 0.177 Ba
0.000 0.000 0.000 Au
0.500 0.500 0.500 Ca
```

Properties
E above lowest polymorph in eV/f.u.: 0.33
DOS at the Fermi energy in states/eV per cell: 4.20

***

Entry from the Alexandria database: crystalline Ba2CaPtAu at its relaxed geometry (PBEsol).

```
Ba2CaPtAu
1.0
-1.323 3.331 -4.010
-5.645 -1.966 0.229
-1.324 4.265 3.980
Au Ba Ca Pt
1 2 1 1
Direct
0.500 0.500 0.500 Au
0.000 0.500 0.000 Ba
0.000 0.000 0.500 Ba
0.500 0.000 0.000 Ca
0.000 0.000 0.000 Pt
```

Properties
Final energy in eV for the cell shown: -18.98
DOS at the Fermi energy in states/eV per cell: 2.78